# TaBeCr

A relaxed TaBeCr crystal (GGA-PBEsol, the Alexandria database).

Cell lengths 3.0928, 3.0928, 4.5219 Å; angles 110.00, 110.00, 90.00 degrees
Closest atoms and distances in Å follow each position.
Fractional positions:
Ta  0.6653  0.6653  0.3306  5 Cr 2.52-2.62, 5 Be 2.56-2.60
Be  0.9882  0.9882  0.9764  4 Cr 2.46, 5 Ta 2.56-2.60
Cr  0.3465  0.3465  0.6930  4 Be 2.46, 5 Ta 2.52-2.62

Properties
N(E_F)	1.7	states/eV per cell
energy of formation from the pure elements	0.123	eV/atom
relative energy among the computed polymorphs	0	meV per atom
spin magnetization	0.9	μB per formula unit
crystal system	tetragonal